! LaPmNd5Ho2 | Alexandria | PBE | optimized geometry; values from VASP
&SYSTEM
  ibrav = 0, nat = 18, ntyp = 4
/
ATOMIC_SPECIES
Nd 144.24 Nd.upf
La 138.91 La.upf
Pm 145.00 Pm.upf
Ho 164.93 Ho.upf
CELL_PARAMETERS angstrom
-1.425 5.108 -2.218
-3.595 0.099 9.988
9.357 4.056 3.328
ATOMIC_POSITIONS crystal
Nd 0.477 0.955 0.740
La 0.416 0.832 0.448
La 0.584 0.168 0.948
Pm 0.200 0.401 0.011
Nd 0.295 0.591 0.705
Nd 0.705 0.409 0.205
Nd 0.719 0.438 0.812
Nd 0.983 0.967 0.525
Ho 0.883 0.767 0.823
Nd 0.389 0.778 0.027
Nd 0.523 0.045 0.240
Ho 0.887 0.775 0.233
Nd 0.281 0.562 0.312
Nd 0.017 0.033 0.025
Nd 0.611 0.222 0.527
Pm 0.800 0.599 0.511
Ho 0.113 0.225 0.733
Ho 0.117 0.233 0.323
! Fermi-level density of states   27.85 states/eV per cell
! Crystal system   orthorhombic
! Magnetization   0.000 μB per atom
! ρ   7.04 g/cm3
! Symmetry   No. 36
! Electronic total energy   -4.595 eV/atom
! ΔE_f   0.146 eV per atom